K2Ba4Rh | GGA-PBE | relaxed

Properties
Mass density   2.94 g cm⁻³
Energy relative to the elements   -0.088 eV/atom
Polymorph energy (0 for the lowest one)   0 meV per atom

Cell: 7.9800 4.5132 11.8336 Å, 90.00 104.42 90.00°
Closest atoms and distances in Å follow each position.
Space group P2/m (No. 10)
Asymmetric unit:
K 0.2440 0.0000 0.4952  2 K 3.92-4.06
Ba 0.1343 0.5000 0.8400  1 Rh 3.06
Ba 0.3875 0.0000 0.1447  2 Rh 3.10
Rh 0.5000 0.5000 0.0000  6 Ba 3.06-3.10

---

CaPmPdRu | GGA-PBE | relaxed

Properties
Mass density   7.65 g cm⁻³
Energy relative to the elements   -0.286 eV/atom

Cell: 6.9849 6.9849 6.9849 Å, 90.00 90.00 90.00°
Closest atoms and distances in Å follow each position.
Space group F-43m (No. 216)
Asymmetric unit:
Ca 0.0000 0.0000 0.0000  4 Ru 3.02, 4 Pd 3.02
Pm 0.0000 0.0000 0.5000  4 Pd 3.02, 4 Ru 3.02
Pd 0.2500 0.2500 0.2500  4 Ca 3.02, 4 Pm 3.02
Ru 0.2500 0.2500 0.7500  4 Pm 3.02, 4 Ca 3.02